Record 1
Compound: La3PbO
Source: Alexandria
Functional: GGA-PBE
Structure: optimized geometry

Calculated values
- formation energy (no corrections) (eV/atom) = -1.069

Cell: 8.1734 8.1734 8.1734 Å, 129.82 129.82 73.69°
Last column: nearest neighbours and their distance in Å.
Fractional positions:
La  0.1207  0.1207  0.0000  1 La 3.16, 2 Pb 3.47
La  0.3651  0.6197  0.7454  2 O 2.36-2.41
La  0.3803  0.1258  0.7454  2 O 2.36-2.41
La  0.3803  0.6349  0.2546  2 O 2.36-2.41
La  0.8742  0.6197  0.2546  2 O 2.36-2.41
La  0.8793  0.8793  0.0000  1 La 3.16, 2 Pb 3.47
Pb  0.6191  0.1191  0.5000  1 Pb 3.42, 4 La 3.47-3.56, 2 O 3.80
Pb  0.8809  0.3809  0.5000  1 Pb 3.42, 4 La 3.47-3.56, 2 O 3.80
O  0.2500  0.7500  0.5000  4 La 2.41
O  0.5000  0.5000  0.0000  4 La 2.36

---

Record 2
Compound: Y2CuPd2
Source: Alexandria
Functional: GGA-PBE
Structure: optimized geometry

Calculated values
- formation enthalpy at 0 K (eV per atom) = -0.40

Cell: 8.1212 8.1212 8.1212 Å, 152.94 152.94 38.64°
Last column: nearest neighbours and their distance in Å.
Fractional positions:
Y  0.1086  0.1086  0.0000  4 Pd 2.88, 4 Cu 3.16
Y  0.8914  0.8914  0.0000  4 Pd 2.88, 4 Cu 3.16
Cu  0.5000  0.5000  0.0000  8 Y 3.16
Pd  0.2500  0.7500  0.5000  4 Pd 2.69, 4 Y 2.88
Pd  0.7500  0.2500  0.5000  4 Pd 2.69, 4 Y 2.88

---

Record 3
Compound: GdTiZn2
Source: Alexandria
Functional: GGA-PBE
Structure: optimized geometry

Calculated values
- formation enthalpy at 0 K (eV per atom) = -0.14
- energy relative to the lowest polymorph listed for this composition (eV per formula unit) = 0.26

Cell: 4.8073 4.8073 4.8073 Å, 60.00 60.00 60.00°
Last column: nearest neighbours and their distance in Å.
Fractional positions:
Gd  0.0000  0.0000  0.0000  8 Zn 2.94
Ti  0.5000  0.5000  0.5000  8 Zn 2.94
Zn  0.2500  0.2500  0.2500  4 Gd 2.94, 4 Ti 2.94
Zn  0.7500  0.7500  0.7500  4 Gd 2.94, 4 Ti 2.94

---

Record 4
Compound: Zr3Pt5
Source: Alexandria
Functional: GGA-PBE
Structure: optimized geometry

Calculated values
- formation enthalpy at 0 K (eV per atom) = -0.94

Cell: 7.5356 7.5356 5.4905 Å, 104.65 104.65 81.02°
Last column: nearest neighbours and their distance in Å.
Fractional positions:
Zr  0.0141  0.9859  0.7500  2 Zr 2.76, 8 Pt 2.77-3.01
Zr  0.1699  0.5609  0.8261  9 Pt 2.78-2.94
Zr  0.4391  0.8301  0.6739  9 Pt 2.78-2.94
Zr  0.5609  0.1699  0.3261  9 Pt 2.78-2.94
Zr  0.8301  0.4391  0.1739  9 Pt 2.78-2.94
Zr  0.9859  0.0141  0.2500  2 Zr 2.76, 8 Pt 2.77-3.01
Pt  0.1116  0.6692  0.3537  6 Zr 2.77-2.93, 5 Pt 2.87-3.08
Pt  0.1877  0.2807  0.1214  5 Zr 2.83-3.01, 6 Pt 2.89-3.05
Pt  0.2807  0.1877  0.6214  5 Zr 2.83-3.01, 6 Pt 2.89-3.05
Pt  0.3308  0.8884  0.1463  6 Zr 2.77-2.93, 5 Pt 2.87-3.08
Pt  0.4686  0.5314  0.2500  6 Pt 2.81-2.89, 4 Zr 2.81-2.83
Pt  0.5314  0.4686  0.7500  6 Pt 2.81-2.89, 4 Zr 2.81-2.83
Pt  0.6692  0.1116  0.8537  6 Zr 2.77-2.93, 5 Pt 2.87-3.08
Pt  0.7193  0.8123  0.3786  5 Zr 2.83-3.01, 6 Pt 2.89-3.05
Pt  0.8123  0.7193  0.8786  5 Zr 2.83-3.01, 6 Pt 2.89-3.05
Pt  0.8884  0.3308  0.6463  6 Zr 2.77-2.93, 5 Pt 2.87-3.08

---

Record 5
Compound: LaSbO
Source: Alexandria
Functional: GGA-PBE
Structure: optimized geometry

Calculated values
- formation energy (no corrections) (eV/atom) = -2.280
- energy relative to the lowest polymorph listed for this composition (eV per formula unit) = 0.00

Cell: 4.2433 4.2457 7.9821 Å, 89.14 89.28 89.99°
Last column: nearest neighbours and their distance in Å.
Fractional positions:
La  0.2471  0.2465  0.1431  4 O 2.41
La  0.7529  0.7535  0.8569  4 O 2.41
Sb  0.2632  0.2658  0.5556  3 Sb 2.95-3.15, 1 La 3.30
Sb  0.7368  0.7342  0.4444  3 Sb 2.95-3.15, 1 La 3.30
O  0.2497  0.7504  0.0001  4 La 2.41
O  0.7503  0.2496  0.9999  4 La 2.41

---

Record 6
Compound: TePb2Au2
Source: Alexandria
Functional: GGA-PBE
Structure: optimized geometry

Calculated values
- formation energy (no corrections) (eV/atom) = -0.094
- energy relative to the lowest polymorph listed for this composition (eV per formula unit) = 0.00

Cell: 7.7715 7.7715 4.3360 Å, 90.00 90.00 90.00°
Last column: nearest neighbours and their distance in Å.
Fractional positions:
Te  0.0000  0.0000  0.0000  4 Au 3.05
Te  0.5000  0.5000  0.0000  4 Au 3.05
Pb  0.1682  0.3318  0.5000  6 Au 3.10-3.19
Pb  0.3318  0.8318  0.5000  6 Au 3.10-3.19
Pb  0.6682  0.1682  0.5000  6 Au 3.10-3.19
Pb  0.8318  0.6682  0.5000  6 Au 3.10-3.19
Au  0.1303  0.6303  0.0000  1 Au 2.86, 2 Te 3.05, 6 Pb 3.10-3.19
Au  0.3697  0.1303  0.0000  1 Au 2.86, 2 Te 3.05, 6 Pb 3.10-3.19
Au  0.6303  0.8697  0.0000  1 Au 2.86, 2 Te 3.05, 6 Pb 3.10-3.19
Au  0.8697  0.3697  0.0000  1 Au 2.86, 2 Te 3.05, 6 Pb 3.10-3.19

---

Record 7
Compound: DyBeSiNi6
Source: Alexandria
Functional: GGA-PBE
Structure: optimized geometry

Calculated values
- formation energy (no corrections) (eV/atom) = -0.170

Cell: 7.0353 7.0353 7.0353 Å, 128.23 115.50 87.18°
Last column: nearest neighbours and their distance in Å.
Fractional positions:
Dy  0.4573  0.2073  0.2500  10 Ni 2.80-3.04, 2 Be 2.83
Dy  0.5427  0.7927  0.7500  10 Ni 2.80-3.04, 2 Be 2.83
Be  0.0000  0.0000  0.0000  6 Ni 2.09-2.19
Be  0.5000  0.0000  0.5000  6 Ni 2.09-2.19
Si  0.0000  0.0000  0.5000  6 Ni 2.23-2.26
Si  0.0000  0.5000  0.0000  6 Ni 2.23-2.26
Ni  0.1075  0.4155  0.2856  1 Be 2.19, 1 Si 2.26, 1 Ni 2.43
Ni  0.1075  0.8219  0.6919  1 Be 2.19, 1 Si 2.26, 1 Ni 2.43
Ni  0.1589  0.9089  0.2500  2 Be 2.09, 2 Si 2.23
Ni  0.2679  0.5179  0.7500  8 Ni 2.54-2.59, 1 Dy 2.80
Ni  0.3701  0.1781  0.7856  1 Be 2.19, 1 Si 2.26, 1 Ni 2.43
Ni  0.3701  0.5845  0.1920  1 Be 2.19, 1 Si 2.26, 1 Ni 2.43
Ni  0.6299  0.4155  0.8081  1 Be 2.19, 1 Si 2.26, 1 Ni 2.43
Ni  0.6299  0.8219  0.2144  1 Be 2.19, 1 Si 2.26, 1 Ni 2.43
Ni  0.7321  0.4821  0.2500  8 Ni 2.54-2.59, 1 Dy 2.80
Ni  0.8411  0.0911  0.7500  2 Be 2.09, 2 Si 2.23
Ni  0.8925  0.1781  0.3080  1 Be 2.19, 1 Si 2.26, 1 Ni 2.43
Ni  0.8925  0.5845  0.7144  1 Be 2.19, 1 Si 2.26, 1 Ni 2.43

---

Record 8
Compound: GdNiSn
Source: Alexandria
Functional: GGA-PBE
Structure: optimized geometry

Calculated values
- formation enthalpy at 0 K (eV per atom) = -0.37

Cell: 6.0848 6.0848 6.0848 Å, 148.24 148.24 45.54°
Last column: nearest neighbours and their distance in Å.
Fractional positions:
Gd  0.0000  0.0000  0.0000  4 Ni 3.01, 5 Sn 3.24-3.34, 4 Gd 3.33
Ni  0.3334  0.3334  0.0000  4 Sn 2.72, 4 Gd 3.01
Sn  0.7116  0.7116  0.0000  4 Ni 2.72

---

Record 9
Compound: La2NbCr2
Source: Alexandria
Functional: GGA-PBE
Structure: optimized geometry

Calculated values
- formation enthalpy at 0 K (eV per atom) = 0.91
- energy relative to the lowest polymorph listed for this composition (eV per formula unit) = 0.00

Cell: 8.4969 8.4969 3.2661 Å, 90.00 90.00 90.00°
Last column: nearest neighbours and their distance in Å.
Fractional positions:
La  0.1473  0.3527  0.0000  6 Cr 2.83-3.08
La  0.3527  0.8527  0.0000  6 Cr 2.83-3.08
La  0.6473  0.1473  0.0000  6 Cr 2.83-3.08
La  0.8527  0.6473  0.0000  6 Cr 2.83-3.08
Nb  0.0000  0.0000  0.0000  4 La 3.25, 2 Nb 3.27, 8 Cr 3.59
Nb  0.5000  0.5000  0.0000  4 La 3.25, 2 Nb 3.27, 8 Cr 3.59
Cr  0.1601  0.6601  0.5000  6 La 2.83-3.08
Cr  0.3399  0.1601  0.5000  6 La 2.83-3.08
Cr  0.6601  0.8399  0.5000  6 La 2.83-3.08
Cr  0.8399  0.3399  0.5000  6 La 2.83-3.08

---

Record 10
Compound: ZnPd12Pb3
Source: Alexandria
Functional: GGA-PBE
Structure: optimized geometry

Calculated values
- formation enthalpy at 0 K (eV per atom) = -0.28

Cell: 4.0706 4.0706 16.1811 Å, 90.00 90.00 90.00°
Last column: nearest neighbours and their distance in Å.
Fractional positions:
Zn  0.0000  0.0000  0.0000  12 Pd 2.75-2.88
Pd  0.0000  0.5000  0.1146  8 Pd 2.75-2.93, 2 Zn 2.75, 2 Pb 2.89
Pd  0.0000  0.5000  0.3717  8 Pd 2.88-2.91, 4 Pb 2.91-2.93
Pd  0.0000  0.5000  0.6283  8 Pd 2.88-2.91, 4 Pb 2.91-2.93
Pd  0.0000  0.5000  0.8854  8 Pd 2.75-2.93, 2 Zn 2.75, 2 Pb 2.89
Pd  0.5000  0.0000  0.1146  8 Pd 2.75-2.93, 2 Zn 2.75, 2 Pb 2.89
Pd  0.5000  0.0000  0.3717  8 Pd 2.88-2.91, 4 Pb 2.91-2.93
Pd  0.5000  0.0000  0.6283  8 Pd 2.88-2.91, 4 Pb 2.91-2.93
Pd  0.5000  0.0000  0.8854  8 Pd 2.75-2.93, 2 Zn 2.75, 2 Pb 2.89
Pd  0.5000  0.5000  0.0000  8 Pd 2.75, 4 Zn 2.88
Pd  0.5000  0.5000  0.2448  4 Pb 2.88, 8 Pd 2.89-2.93
Pd  0.5000  0.5000  0.5000  4 Pb 2.88, 8 Pd 2.91
Pd  0.5000  0.5000  0.7552  4 Pb 2.88, 8 Pd 2.89-2.93
Pb  0.0000  0.0000  0.2417  12 Pd 2.88-2.93
Pb  0.0000  0.0000  0.5000  12 Pd 2.88-2.91
Pb  0.0000  0.0000  0.7583  12 Pd 2.88-2.93

---

Record 11
Compound: LaNd3In3
Source: Alexandria
Functional: GGA-PBE
Structure: optimized geometry

Calculated values
- formation enthalpy at 0 K (eV per atom) = -0.35
- energy relative to the lowest polymorph listed for this composition (eV per formula unit) = 0.09

Cell: 9.6522 9.6522 9.6522 Å, 90.00 90.00 90.00°
Last column: nearest neighbours and their distance in Å.
Fractional positions:
La  0.0743  0.4257  0.5743  6 In 3.28-3.45, 3 Nd 3.66
La  0.4257  0.5743  0.0743  6 In 3.28-3.45, 3 Nd 3.66
La  0.5743  0.0743  0.4257  6 In 3.28-3.45, 3 Nd 3.66
La  0.9257  0.9257  0.9257  6 In 3.28-3.45, 3 Nd 3.66
Nd  0.0784  0.5784  0.9216  6 In 3.24-3.45
Nd  0.1757  0.8243  0.3243  6 In 3.25-3.40
Nd  0.1765  0.1765  0.1765  6 In 3.25-3.42
Nd  0.3235  0.8235  0.6765  6 In 3.25-3.42
Nd  0.3243  0.1757  0.8243  6 In 3.25-3.40
Nd  0.4216  0.4216  0.4216  6 In 3.24-3.45
Nd  0.5784  0.9216  0.0784  6 In 3.24-3.45
Nd  0.6757  0.6757  0.6757  6 In 3.25-3.40
Nd  0.6765  0.3235  0.8235  6 In 3.25-3.42
Nd  0.8235  0.6765  0.3235  6 In 3.25-3.42
Nd  0.8243  0.3243  0.1757  6 In 3.25-3.40
Nd  0.9216  0.0784  0.5784  6 In 3.24-3.45
In  0.0012  0.2541  0.8789  6 Nd 3.24-3.45, 2 La 3.28-3.45
In  0.1211  0.5012  0.2459  6 Nd 3.24-3.45, 2 La 3.28-3.45
In  0.2459  0.1211  0.5012  6 Nd 3.24-3.45, 2 La 3.28-3.45
In  0.2541  0.8789  0.0012  6 Nd 3.24-3.45, 2 La 3.28-3.45
In  0.3789  0.4988  0.7459  6 Nd 3.24-3.45, 2 La 3.28-3.45
In  0.4988  0.7459  0.3789  6 Nd 3.24-3.45, 2 La 3.28-3.45
In  0.5012  0.2459  0.1211  6 Nd 3.24-3.45, 2 La 3.28-3.45
In  0.6211  0.9988  0.7541  6 Nd 3.24-3.45, 2 La 3.28-3.45
In  0.7459  0.3789  0.4988  6 Nd 3.24-3.45, 2 La 3.28-3.45
In  0.7541  0.6211  0.9988  6 Nd 3.24-3.45, 2 La 3.28-3.45
In  0.8789  0.0012  0.2541  6 Nd 3.24-3.45, 2 La 3.28-3.45
In  0.9988  0.7541  0.6211  6 Nd 3.24-3.45, 2 La 3.28-3.45

---

Record 12
Compound: InSiRh
Source: Alexandria
Functional: GGA-PBE
Structure: optimized geometry

Calculated values
- formation energy (no corrections) (eV/atom) = -0.236

Cell: 3.1662 3.1662 6.1051 Å, 90.00 90.00 120.00°
Last column: nearest neighbours and their distance in Å.
Fractional positions:
In  0.0000  0.0000  0.0000  3 Rh 2.85, 3 Si 3.02, 6 In 3.17
Si  0.6667  0.3333  0.6072  3 Rh 2.38
Rh  0.3333  0.6667  0.3575  3 Si 2.38

---

Number 1: density of states at the Fermi level 2.417 states/eV per atom. Number 2: density of states at the Fermi level 0.377 states/eV per atom. Number 3: density of states at the Fermi level 0.824 states/eV per atom. Number 4: density of states at the Fermi level 0.480 states/eV per atom. Number 5: density of states at the Fermi level 0.021 states/eV per atom. Number 6: density of states at the Fermi level 0.463 states/eV per atom. Number 7: density of states at the Fermi level 0.524 states/eV per atom. Number 8: density of states at the Fermi level 0.913 states/eV per atom. Number 9: density of states at the Fermi level 0.812 states/eV per atom. Number 10: density of states at the Fermi level 0.765 states/eV per atom. Number 11: density of states at the Fermi level 1.159 states/eV per atom. Number 12: density of states at the Fermi level 0.237 states/eV per atom.